The following is a DFT calculation (PBE) of a relaxed structure of Cs2ZrU2Se6.

As for the energy relative to the elements, uncorrected: -1.2916 eV per atom. Its total moment is 12.027 μB per cell. The value obtained for the raw total energy is -6.18 eV/atom.

Cell: 7.0716 12.1781 8.9971 Å, 90.00 105.32 90.00°
Closest atoms and distances in Å follow each position.
Space group C2/m (No. 12)
One atom of each set of equivalent atoms:
Cs 0.0000 0.1678 0.0000 [4 per cell]  6 Se 3.59-3.65
Zr 0.0000 0.0000 0.5000 [2 per cell]  6 Se 2.77-2.78
U 0.0000 0.3330 0.5000 [4 per cell]  6 Se 2.87-2.88
Se 0.2243 0.1602 0.6847 [8 per cell]  1 Zr 2.77, 2 U 2.88
Se 0.2399 0.5000 0.6838 [4 per cell]  1 Zr 2.78, 2 U 2.87